# BeCdAg2, optimized geometry, DFT PBE
data_BeCdAg2
_cell_length_a 2.9189
_cell_length_b 2.9189
_cell_length_c 26.8008
_cell_angle_alpha 90.00
_cell_angle_beta 90.00
_cell_angle_gamma 120.00
_symmetry_space_group_name_H-M 'R -3 m'
_symmetry_Int_Tables_number 166
_symmetry_space_group_name_Hall '-R 3 2"'
loop_
_atom_site_label
_atom_site_fract_x
_atom_site_fract_y
_atom_site_fract_z
Be1 0.0000 0.0000 0.0000
Cd1 0.0000 0.0000 0.5000
Ag1 0.0000 0.0000 0.2633
# polymorph energy (0 for the lowest one): 0.0736 eV per atom